(1)
## SrSiP2 (PBE-GGA)

Data for crystalline SrSiP2 at its relaxed geometry.

Cell: 4.2263 4.4183 5.0180 Å, 90.24 90.00 90.00°
Fractional positions:
1 P 0.0000 0.2516 0.9240
2 P 0.5000 0.2499 0.2792
3 Si 0.0000 0.2483 0.4860
4 Sr 0.5000 0.7503 0.8109

Computed properties:
Electronic total energy = -19.2 eV per cell
DOS at the Fermi energy = 1.10 states/eV/f.u.
Total magnetic moment = 0.0 μB/f.u.
SG = Pm, No. 6

(2)
## Cs3Sn2PbCl9 (PBE-GGA)

Data for crystalline Cs3Sn2PbCl9 at its relaxed geometry.

Cell: 7.9984 7.9984 9.8170 Å, 90.00 90.00 120.00°
Fractional positions:
1 Cl 0.5000 0.5000 0.0000
2 Cl 0.5000 0.0000 0.0000
3 Cl 0.1685 0.8315 0.3304
4 Cl 0.6629 0.8315 0.3304
5 Cl 0.8315 0.1685 0.6696
6 Cl 0.1685 0.3371 0.3304
7 Cl 0.8315 0.6629 0.6696
8 Cl 0.3371 0.1685 0.6696
9 Cl 0.0000 0.5000 0.0000
10 Pb 0.0000 0.0000 0.5000
11 Cs 0.6667 0.3333 0.3325
12 Cs 0.0000 0.0000 0.0000
13 Cs 0.3333 0.6667 0.6675
14 Sn 0.3333 0.6667 0.1640
15 Sn 0.6667 0.3333 0.8360

Computed properties:
Electronic total energy = -53.0 eV per cell
DOS at the Fermi energy = 0.00 states/eV/f.u.
Total magnetic moment = 0.0 μB/f.u.
SG = P-3m1, No. 164

(3)
## MgRh2 (PBE-GGA)

Data for crystalline MgRh2 at its relaxed geometry.

Cell: 4.1631 4.1631 4.1631 Å, 60.00 60.00 60.00°
Fractional positions:
1 Rh 0.2500 0.2500 0.2500
2 Rh 0.7500 0.7500 0.7500
3 Mg 0.0000 0.0000 0.0000

Computed properties:
DOS at the Fermi energy = 5.78 states/eV/f.u.
Calculated formation energy = 0.4104 eV per atom
Total magnetic moment = 0.0 μB/f.u.
SG = Fm-3m, No. 225

(4)
## BeSb2MoI (PBE-GGA)

Data for crystalline BeSb2MoI at its relaxed geometry.

Cell: 4.8221 4.8221 5.3729 Å, 90.00 90.00 90.00°
Last column: magnetic moment on the atom in μB.
Fractional positions:
1 Sb 0.5000 0.0000 0.0000  -0.13
2 Sb 0.0000 0.5000 0.0000  -0.13
3 Mo 0.5000 0.5000 0.5000  3.21
4 Be 0.0000 0.0000 0.0000  0.02
5 I 0.0000 0.0000 0.5000  -0.11

Computed properties:
Energy above the lowest structure with this stoichiometry = 0.057 eV per atom
DOS at the Fermi energy = 2.58 states/eV/f.u.
Total magnetic moment = 3.2 μB/f.u.
SG = P4/mmm, No. 123

Which of these has the highest total magnetic moment?
BeSb2MoI

Among the records above, which one has the highest DOS at the Fermi energy?
MgRh2

Look up the DOS at the Fermi energy of the first one.
1.10 states/eV/f.u.

Repeat the fourth record exactly.
## BeSb2MoI (PBE-GGA)

Data for crystalline BeSb2MoI at its relaxed geometry.

Cell: 4.8221 4.8221 5.3729 Å, 90.00 90.00 90.00°
Last column: magnetic moment on the atom in μB.
Fractional positions:
1 Sb 0.5000 0.0000 0.0000  -0.13
2 Sb 0.0000 0.5000 0.0000  -0.13
3 Mo 0.5000 0.5000 0.5000  3.21
4 Be 0.0000 0.0000 0.0000  0.02
5 I 0.0000 0.0000 0.5000  -0.11

Computed properties:
Energy above the lowest structure with this stoichiometry = 0.057 eV per atom
DOS at the Fermi energy = 2.58 states/eV/f.u.
Total magnetic moment = 3.2 μB/f.u.
SG = P4/mmm, No. 123